(1)
A relaxed structure of PmIn7Ag5, computed with PBE-GGA.

Lattice parameters (Å, degrees): 5.8972 7.6082 7.6082 82.67 67.20 67.20
With the nearest neighbours (Å) after each atom.
Fractional positions:
Pm 0.9958 0.0042 0.0042  10 In 3.39-3.69, 6 Ag 3.75-3.77
In 0.6466 0.3534 0.3534  3 In 2.98-3.19, 4 Ag 3.09
In 0.3424 0.6576 0.6576  1 In 2.98, 6 Ag 3.04-3.14
In 0.9940 0.3469 0.6650  5 Ag 2.94-3.06, 2 In 3.14-3.20
In 0.9940 0.6650 0.3469  5 Ag 2.94-3.06, 2 In 3.14-3.20
In 0.2700 0.2300 0.2300  4 Ag 2.91, 6 In 3.00-3.19
In 0.5080 0.8040 0.1800  5 Ag 2.88-2.97, 1 In 3.00
In 0.5080 0.1800 0.8040  5 Ag 2.88-2.97, 1 In 3.00
Ag 0.5004 0.9982 0.4978  7 In 2.88-3.09, 3 Ag 2.93-2.97
Ag 0.0036 0.9982 0.4978  7 In 2.88-3.09, 3 Ag 2.93-2.97
Ag 0.5004 0.4978 0.9982  7 In 2.88-3.09, 3 Ag 2.93-2.97
Ag 0.0036 0.4978 0.9982  7 In 2.88-3.09, 3 Ag 2.93-2.97
Ag 0.7330 0.7670 0.7670  6 In 2.90-3.14, 4 Ag 2.93

Total magnetic moment   0.00 μB per atom
E_form   -0.14 eV/atom
Fermi-level density of states   0.300 states/eV per atom

=====

(2)
A relaxed structure of Al3ICl, computed with PBE-GGA.

Lattice parameters (Å, degrees): 6.1036 6.1036 6.1036 90.00 90.00 90.00
With the nearest neighbours (Å) after each atom.
Fractional positions:
I 0.0000 0.0000 0.0000  6 Al 3.05
Al 0.0000 0.5000 0.0000  2 I 3.05
Al 0.0000 0.0000 0.5000  2 I 3.05
Al 0.5000 0.0000 0.0000  2 I 3.05
Cl 0.5000 0.5000 0.5000  12 Al 4.32

Total magnetic moment   0.00 μB per atom
E_form (uncorrected)   75.1 kJ/mol of atoms
Fermi-level density of states   0.397 states/eV per atom

=====

(3)
A relaxed structure of KYTiHg2, computed with PBE-GGA.

Lattice parameters (Å, degrees): 5.4756 5.0866 5.4756 90.00 90.00 90.00
With the nearest neighbours (Å) after each atom.
Fractional positions:
Y 0.5000 0.5000 0.5000  8 Hg 3.74, 4 Ti 3.87
K 0.0000 0.0000 0.0000  2 Ti 2.54, 4 Hg 2.74
Hg 0.0000 0.0000 0.5000  2 K 2.74
Hg 0.5000 0.0000 0.0000  2 K 2.74
Ti 0.0000 0.5000 0.0000  2 K 2.54

Total magnetic moment   0.45 μB per atom
E_form   1.06 eV/atom
Fermi-level density of states   1.043 states/eV per atom

=====

(4)
A relaxed structure of LiTm2Tl4, computed with PBE-GGA.

Lattice parameters (Å, degrees): 5.1180 5.1180 7.2713 90.00 90.00 90.00
With the nearest neighbours (Å) after each atom.
Fractional positions:
Li 0.5000 0.5000 0.0000  8 Tl 3.16
Tm 0.0000 0.0000 0.0000  8 Tl 3.16
Tm 0.5000 0.5000 0.5000  8 Tl 3.12
Tl 0.5000 0.0000 0.2539  4 Tm 3.12-3.16, 2 Li 3.16
Tl 0.0000 0.5000 0.7461  4 Tm 3.12-3.16, 2 Li 3.16
Tl 0.5000 0.0000 0.7461  4 Tm 3.12-3.16, 2 Li 3.16
Tl 0.0000 0.5000 0.2539  4 Tm 3.12-3.16, 2 Li 3.16

Total magnetic moment   0.00 μB per atom
E_form   -0.17 eV/atom
Fermi-level density of states   0.339 states/eV per atom

=====

(5)
A relaxed structure of Na3GeI2F6, computed with PBE-GGA.

Lattice parameters (Å, degrees): 5.8115 6.3935 7.5356 115.10 90.14 90.00
With the nearest neighbours (Å) after each atom.
Fractional positions:
Na 0.0000 0.5000 0.0000  4 F 2.50
Na 0.5000 0.5000 0.5000  2 F 2.21
Na 0.5000 0.0000 0.5000  2 F 2.21
Ge 0.5000 0.0000 0.0000  6 F 1.82-1.88
I 0.0004 0.7347 0.4693  5 Na 3.20-3.33, 2 I 3.22, 2 F 3.38-3.39
I 0.9996 0.2653 0.5307  5 Na 3.20-3.33, 2 I 3.22, 2 F 3.38-3.39
F 0.7183 0.2060 0.0020  1 Ge 1.82
F 0.2817 0.7940 0.9980  1 Ge 1.82
F 0.5023 0.8619 0.7238  1 Ge 1.88
F 0.4977 0.1381 0.2762  1 Ge 1.88
F 0.2817 0.2040 0.9980  1 Ge 1.82
F 0.7183 0.7960 0.0020  1 Ge 1.82

Total magnetic moment   0.00 μB per atom
E_form (uncorrected)   -203.1 kJ/mol of atoms
Fermi-level density of states   0.158 states/eV per atom

=====

(6)
A relaxed structure of LaSiGePd, computed with PBE-GGA.

Lattice parameters (Å, degrees): 4.3634 4.3634 9.0775 90.00 90.00 90.00
With the nearest neighbours (Å) after each atom.
Fractional positions:
La 0.0000 0.5000 0.7915  5 Ge 2.95-3.20
La 0.5000 0.0000 0.2085  5 Ge 2.95-3.20
Si 0.0000 0.5000 0.3743  1 Ge 2.34, 4 Pd 2.46
Si 0.5000 0.0000 0.6257  1 Ge 2.34, 4 Pd 2.46
Ge 0.5000 0.0000 0.8833  1 Si 2.34
Ge 0.0000 0.5000 0.1167  1 Si 2.34
Pd 0.0000 0.0000 0.5000  4 Si 2.46
Pd 0.5000 0.5000 0.5000  4 Si 2.46

Total magnetic moment   0.00 μB per atom
E_form (uncorrected)   -73.5 kJ/mol of atoms
Fermi-level density of states   0.533 states/eV per atom